[1]
A relaxed structure of Ac2Pd4Au. Source: Alexandria, functional PBE.

Lattice parameters (Å, degrees): 5.0448 5.0448 8.2427 107.82 107.82 90.00
Closest atoms and distances in Å follow each position.
Positions (direct):
1 Ac 0.6347 0.6347 0.2694  1 Pd 2.78
2 Ac 0.3653 0.3653 0.7306  1 Pd 2.78
3 Pd 0.8215 0.8215 0.6429  1 Au 2.65, 1 Ac 2.78
4 Pd 0.1785 0.1785 0.3571  1 Au 2.65, 1 Ac 2.78
5 Pd 0.0000 0.5000 0.0000  2 Au 2.52
6 Pd 0.5000 0.0000 0.0000  2 Au 2.52
7 Au 0.0000 0.0000 0.0000  6 Pd 2.52-2.65

## Properties
The uncorrected energy is -4.888 eV per atom. The symmetry is I4/mmm.

=====

[2]
A relaxed structure of Ac2PmPd3Au12. Source: Alexandria, functional PBE.

Lattice parameters (Å, degrees): 8.4761 8.4761 8.4761 64.18 64.18 64.18
Closest atoms and distances in Å follow each position.
Positions (direct):
1 Ac 0.6039 0.6039 0.6039  6 Au 3.07-3.08
2 Ac 0.3961 0.3961 0.3961  6 Au 3.07-3.08
3 Pm 0.0000 0.0000 0.0000  6 Au 2.92
4 Pd 0.5000 0.0000 0.0000  6 Au 2.64
5 Pd 0.0000 0.5000 0.0000  6 Au 2.64
6 Pd 0.0000 0.0000 0.5000  6 Au 2.64
7 Au 0.3568 0.3568 0.8620  2 Pd 2.64, 2 Au 2.82
8 Au 0.8537 0.8537 0.3989  1 Pd 2.64, 1 Pm 2.92
9 Au 0.3989 0.8537 0.8537  1 Pd 2.64, 1 Pm 2.92
10 Au 0.8620 0.3568 0.3568  2 Pd 2.64, 2 Au 2.82
11 Au 0.8537 0.3989 0.8537  1 Pd 2.64, 1 Pm 2.92
12 Au 0.3568 0.8620 0.3568  2 Pd 2.64, 2 Au 2.82
13 Au 0.6432 0.6432 0.1380  2 Pd 2.64, 2 Au 2.82
14 Au 0.1463 0.1463 0.6011  1 Pd 2.64, 1 Pm 2.92
15 Au 0.6011 0.1463 0.1463  1 Pd 2.64, 1 Pm 2.92
16 Au 0.1380 0.6432 0.6432  2 Pd 2.64, 2 Au 2.82
17 Au 0.1463 0.6011 0.1463  1 Pd 2.64, 1 Pm 2.92
18 Au 0.6432 0.1380 0.6432  2 Pd 2.64, 2 Au 2.82

## Properties
The uncorrected energy is -3.876 eV per atom. The symmetry is R-3m.

=====

[3]
A relaxed structure of Ac2Pd5Pt2Au. Source: Alexandria, functional PBE.

Lattice parameters (Å, degrees): 4.1651 9.8718 9.8718 90.00 90.00 90.00
Closest atoms and distances in Å follow each position.
Positions (direct):
1 Ac 0.0000 0.6753 0.1753  3 Pt 2.82-2.99
2 Ac 0.0000 0.3247 0.8247  3 Pt 2.82-2.99
3 Ac 0.0000 0.1753 0.3247  3 Pt 2.82-2.99
4 Ac 0.0000 0.8247 0.6753  3 Pt 2.82-2.99
5 Pd 0.5000 0.1992 0.0614  2 Pt 2.79, 3 Pd 2.91-3.03, 2 Au 2.93
6 Pd 0.5000 0.8008 0.9386  2 Pt 2.79, 3 Pd 2.91-3.03, 2 Au 2.93
7 Pd 0.5000 0.0614 0.8008  2 Pt 2.79, 3 Pd 2.91-3.03, 2 Au 2.93
8 Pd 0.5000 0.6992 0.4386  2 Pt 2.79, 3 Pd 2.91-3.03, 2 Au 2.93
9 Pd 0.5000 0.9386 0.1992  2 Pt 2.79, 3 Pd 2.91-3.03, 2 Au 2.93
10 Pd 0.5000 0.3008 0.5614  2 Pt 2.79, 3 Pd 2.91-3.03, 2 Au 2.93
11 Pd 0.5000 0.5614 0.6992  2 Pt 2.79, 3 Pd 2.91-3.03, 2 Au 2.93
12 Pd 0.5000 0.4386 0.3008  2 Pt 2.79, 3 Pd 2.91-3.03, 2 Au 2.93
13 Pd 0.5000 0.5000 0.0000  4 Pt 2.70
14 Pd 0.5000 0.0000 0.5000  4 Pt 2.70
15 Pt 0.0000 0.1228 0.6228  6 Pd 2.70-2.79, 3 Ac 2.82-2.99
16 Pt 0.0000 0.8772 0.3772  6 Pd 2.70-2.79, 3 Ac 2.82-2.99
17 Pt 0.0000 0.6228 0.8772  6 Pd 2.70-2.79, 3 Ac 2.82-2.99
18 Pt 0.0000 0.3772 0.1228  6 Pd 2.70-2.79, 3 Ac 2.82-2.99
19 Au 0.0000 0.0000 0.0000  8 Pd 2.93
20 Au 0.0000 0.5000 0.5000  8 Pd 2.93

## Properties
The uncorrected energy is -5.608 eV per atom. The symmetry is P4/mbm.

=====

[4]
A relaxed structure of Ac2PdPtAu6. Source: Alexandria, functional PBE.

Lattice parameters (Å, degrees): 7.1161 7.1288 7.1155 44.71 85.83 102.26
Closest atoms and distances in Å follow each position.
Positions (direct):
1 Ac 0.7226 0.2475 0.5217  7 Au 3.26-3.48, 2 Pt 3.48-3.51, 2 Pd 3.54-3.55
2 Ac 0.2774 0.7525 0.4783  7 Au 3.26-3.48, 2 Pt 3.48-3.51, 2 Pd 3.54-3.55
3 Pd 0.0000 0.0000 0.0000  6 Au 2.73-2.78
4 Pt 0.5000 0.5000 0.0000  6 Au 2.75-2.79
5 Au 0.2706 0.2719 0.5012  4 Au 2.71-2.91, 1 Pd 2.78, 1 Pt 2.79
6 Au 0.9147 0.7516 0.8355  1 Pd 2.73, 1 Pt 2.75, 4 Au 2.90-2.93
7 Au 0.2720 0.7725 0.0007  4 Au 2.71-2.93, 1 Pd 2.78, 1 Pt 2.79
8 Au 0.7280 0.2275 0.9993  4 Au 2.71-2.93, 1 Pd 2.78, 1 Pt 2.79
9 Au 0.0853 0.2484 0.1645  1 Pd 2.73, 1 Pt 2.75, 4 Au 2.90-2.93
10 Au 0.7294 0.7281 0.4988  4 Au 2.71-2.91, 1 Pd 2.78, 1 Pt 2.79

## Properties
The uncorrected energy is -4.470 eV per atom. The symmetry is P-1.

=====

[5]
A relaxed structure of Ac3Pd9PtAu2. Source: Alexandria, functional PBE.

Lattice parameters (Å, degrees): 8.2661 8.2661 6.0963 90.00 90.00 120.00
Closest atoms and distances in Å follow each position.
Positions (direct):
1 Ac 0.3333 0.6667 0.6679  2 Au 3.04-3.06, 6 Pd 3.10-3.13
2 Ac 0.0000 0.0000 0.0000  2 Pt 3.05, 6 Pd 3.17
3 Ac 0.6667 0.3333 0.3321  2 Au 3.04-3.06, 6 Pd 3.10-3.13
4 Pd 0.8334 0.1666 0.6577  1 Pt 2.57, 1 Au 2.61
5 Pd 0.8334 0.6667 0.6577  1 Pt 2.57, 1 Au 2.61
6 Pd 0.3333 0.1666 0.6577  1 Pt 2.57, 1 Au 2.61
7 Pd 0.6667 0.8334 0.3423  1 Pt 2.57, 1 Au 2.61
8 Pd 0.1666 0.3333 0.3423  1 Pt 2.57, 1 Au 2.61
9 Pd 0.1666 0.8334 0.3423  1 Pt 2.57, 1 Au 2.61
10 Pd 0.5000 0.0000 0.0000  2 Au 2.60
11 Pd 0.0000 0.5000 0.0000  2 Au 2.60
12 Pd 0.5000 0.5000 0.0000  2 Au 2.60
13 Pt 0.0000 0.0000 0.5000  6 Pd 2.57
14 Au 0.3333 0.6667 0.1693  6 Pd 2.60-2.61
15 Au 0.6667 0.3333 0.8307  6 Pd 2.60-2.61

## Properties
The uncorrected energy is -5.045 eV per atom. The symmetry is P-3m1.

=====

[6]
A relaxed structure of Ac2Pd5PtAu2. Source: Alexandria, functional PBE.

Lattice parameters (Å, degrees): 4.1250 10.0079 10.0079 90.00 90.00 90.00
Closest atoms and distances in Å follow each position.
Positions (direct):
1 Ac 0.0000 0.6791 0.1791  3 Au 2.83-3.06
2 Ac 0.0000 0.3209 0.8209  3 Au 2.83-3.06
3 Ac 0.0000 0.1791 0.3209  3 Au 2.83-3.06
4 Ac 0.0000 0.8209 0.6791  3 Au 2.83-3.06
5 Pd 0.5000 0.1962 0.0524  2 Au 2.84, 3 Pd 2.87-3.09, 2 Pt 2.90
6 Pd 0.5000 0.8038 0.9476  2 Au 2.84, 3 Pd 2.87-3.09, 2 Pt 2.90
7 Pd 0.5000 0.0524 0.8038  2 Au 2.84, 3 Pd 2.87-3.09, 2 Pt 2.90
8 Pd 0.5000 0.6962 0.4476  2 Au 2.84, 3 Pd 2.87-3.09, 2 Pt 2.90
9 Pd 0.5000 0.9476 0.1962  2 Au 2.84, 3 Pd 2.87-3.09, 2 Pt 2.90
10 Pd 0.5000 0.3038 0.5524  2 Au 2.84, 3 Pd 2.87-3.09, 2 Pt 2.90
11 Pd 0.5000 0.5524 0.6962  2 Au 2.84, 3 Pd 2.87-3.09, 2 Pt 2.90
12 Pd 0.5000 0.4476 0.3038  2 Au 2.84, 3 Pd 2.87-3.09, 2 Pt 2.90
13 Pd 0.5000 0.5000 0.0000  4 Au 2.68
14 Pd 0.5000 0.0000 0.5000  4 Au 2.68
15 Pt 0.0000 0.0000 0.0000  8 Pd 2.90
16 Pt 0.0000 0.5000 0.5000  8 Pd 2.90
17 Au 0.0000 0.1208 0.6208  6 Pd 2.68-2.84, 1 Ac 2.83
18 Au 0.0000 0.8792 0.3792  6 Pd 2.68-2.84, 1 Ac 2.83
19 Au 0.0000 0.6208 0.8792  6 Pd 2.68-2.84, 1 Ac 2.83
20 Au 0.0000 0.3792 0.1208  6 Pd 2.68-2.84, 1 Ac 2.83

## Properties
The uncorrected energy is -5.235 eV per atom. The symmetry is P4/mbm.

=====

[7]
A relaxed structure of Ac2Pd2Pt5Au. Source: Alexandria, functional PBE.

Lattice parameters (Å, degrees): 4.2529 9.6875 9.6875 90.00 90.00 90.00
Closest atoms and distances in Å follow each position.
Positions (direct):
1 Ac 0.0000 0.6795 0.1795  3 Pd 2.75-2.96
2 Ac 0.0000 0.3205 0.8205  3 Pd 2.75-2.96
3 Ac 0.0000 0.1795 0.3205  3 Pd 2.75-2.96
4 Ac 0.0000 0.8205 0.6795  3 Pd 2.75-2.96
5 Pd 0.0000 0.1198 0.6198  6 Pt 2.69-2.79, 3 Ac 2.75-2.96
6 Pd 0.0000 0.8802 0.3802  6 Pt 2.69-2.79, 3 Ac 2.75-2.96
7 Pd 0.0000 0.6198 0.8802  6 Pt 2.69-2.79, 3 Ac 2.75-2.96
8 Pd 0.0000 0.3802 0.1198  6 Pt 2.69-2.79, 3 Ac 2.75-2.96
9 Pt 0.5000 0.2040 0.0564  2 Pd 2.79, 3 Pt 2.90-2.92, 2 Au 2.95
10 Pt 0.5000 0.7960 0.9436  2 Pd 2.79, 3 Pt 2.90-2.92, 2 Au 2.95
11 Pt 0.5000 0.0564 0.7960  2 Pd 2.79, 3 Pt 2.90-2.92, 2 Au 2.95
12 Pt 0.5000 0.7040 0.4436  2 Pd 2.79, 3 Pt 2.90-2.92, 2 Au 2.95
13 Pt 0.5000 0.9436 0.2040  2 Pd 2.79, 3 Pt 2.90-2.92, 2 Au 2.95
14 Pt 0.5000 0.2960 0.5564  2 Pd 2.79, 3 Pt 2.90-2.92, 2 Au 2.95
15 Pt 0.5000 0.5564 0.7040  2 Pd 2.79, 3 Pt 2.90-2.92, 2 Au 2.95
16 Pt 0.5000 0.4436 0.2960  2 Pd 2.79, 3 Pt 2.90-2.92, 2 Au 2.95
17 Pt 0.5000 0.5000 0.0000  4 Pd 2.69, 4 Pt 2.92
18 Pt 0.5000 0.0000 0.5000  4 Pd 2.69, 4 Pt 2.92
19 Au 0.0000 0.0000 0.0000  8 Pt 2.95
20 Au 0.0000 0.5000 0.5000  8 Pt 2.95

## Properties
The uncorrected energy is -5.879 eV per atom. The symmetry is P4/mbm.

=====

[8]
A relaxed structure of Ac2Pd3PtAu12. Source: Alexandria, functional PBE.

Lattice parameters (Å, degrees): 10.1351 10.1351 10.1351 41.25 41.25 41.25
Closest atoms and distances in Å follow each position.
Positions (direct):
1 Ac 0.6490 0.6490 0.6490  6 Au 3.16-3.23
2 Ac 0.3510 0.3510 0.3510  6 Au 3.16-3.23
3 Pd 0.5000 0.0000 0.0000  6 Au 2.68-2.83
4 Pd 0.0000 0.5000 0.0000  6 Au 2.68-2.83
5 Pd 0.0000 0.0000 0.5000  6 Au 2.68-2.83
6 Pt 0.0000 0.0000 0.0000  6 Au 2.65
7 Au 0.4190 0.4190 0.8063  2 Pd 2.68, 4 Au 2.77-2.80
8 Au 0.9072 0.9072 0.3798  1 Pt 2.65, 2 Au 2.80, 1 Pd 2.83
9 Au 0.3798 0.9072 0.9072  1 Pt 2.65, 2 Au 2.80, 1 Pd 2.83
10 Au 0.8063 0.4190 0.4190  2 Pd 2.68, 4 Au 2.77-2.80
11 Au 0.9072 0.3798 0.9072  1 Pt 2.65, 2 Au 2.80, 1 Pd 2.83
12 Au 0.4190 0.8063 0.4190  2 Pd 2.68, 4 Au 2.77-2.80
13 Au 0.5810 0.5810 0.1937  2 Pd 2.68, 4 Au 2.77-2.80
14 Au 0.0928 0.0928 0.6202  1 Pt 2.65, 2 Au 2.80, 1 Pd 2.83
15 Au 0.6202 0.0928 0.0928  1 Pt 2.65, 2 Au 2.80, 1 Pd 2.83
16 Au 0.1937 0.5810 0.5810  2 Pd 2.68, 4 Au 2.77-2.80
17 Au 0.0928 0.6202 0.0928  1 Pt 2.65, 2 Au 2.80, 1 Pd 2.83
18 Au 0.5810 0.1937 0.5810  2 Pd 2.68, 4 Au 2.77-2.80

## Properties
The uncorrected energy is -3.941 eV per atom. The symmetry is R-3m.

=====

[9]
A relaxed structure of Ac4PdRhAu2. Source: Alexandria, functional PBE.

Lattice parameters (Å, degrees): 4.4119 7.6463 7.8616 108.82 90.00 90.00
Closest atoms and distances in Å follow each position.
Positions (direct):
1 Ac 0.5000 0.2360 0.2277  2 Rh 3.04, 1 Pd 3.10, 3 Au 3.21-3.28
2 Ac 0.5000 0.7640 0.7723  2 Rh 3.04, 1 Pd 3.10, 3 Au 3.21-3.28
3 Ac 0.0000 0.2493 0.7693  1 Rh 3.03, 2 Pd 3.10, 3 Au 3.22-3.28
4 Ac 0.0000 0.7507 0.2307  1 Rh 3.03, 2 Pd 3.10, 3 Au 3.22-3.28
5 Pd 0.5000 0.5000 0.0000  6 Ac 3.10
6 Rh 0.0000 0.0000 0.0000  6 Ac 3.03-3.04
7 Au 0.5000 0.0000 0.5000  6 Ac 3.21-3.22
8 Au 0.0000 0.5000 0.5000  6 Ac 3.28

## Properties
The uncorrected energy is -5.230 eV per atom. The symmetry is P2/m.

=====

[10]
A relaxed structure of Ac4Pd2RhAu. Source: Alexandria, functional PBE.

Lattice parameters (Å, degrees): 4.3860 7.6251 7.7412 70.86 90.00 90.00
Closest atoms and distances in Å follow each position.
Positions (direct):
1 Ac 0.0000 0.7518 0.7351  1 Rh 3.05, 3 Pd 3.07-3.21, 2 Au 3.18
2 Ac 0.0000 0.2482 0.2649  1 Rh 3.05, 3 Pd 3.07-3.21, 2 Au 3.18
3 Ac 0.5000 0.7441 0.2636  2 Rh 3.06, 3 Pd 3.08-3.19, 1 Au 3.18
4 Ac 0.5000 0.2559 0.7364  2 Rh 3.06, 3 Pd 3.08-3.19, 1 Au 3.18
5 Pd 0.0000 0.0000 0.0000  6 Ac 3.19-3.21
6 Pd 0.5000 0.0000 0.5000  6 Ac 3.07-3.08
7 Rh 0.0000 0.5000 0.5000  6 Ac 3.05-3.06
8 Au 0.5000 0.5000 0.0000  6 Ac 3.18

## Properties
The uncorrected energy is -5.434 eV per atom. The symmetry is P2/m.

=====

[11]
A relaxed structure of Ac4PdRh2Au. Source: Alexandria, functional PBE.

Lattice parameters (Å, degrees): 4.4124 7.8175 14.4151 90.00 90.00 106.39
Closest atoms and distances in Å follow each position.
Positions (direct):
1 Ac 0.2708 0.5416 0.1065  1 Pd 2.94, 3 Rh 3.04-3.09
2 Ac 0.7292 0.4584 0.6065  1 Pd 2.94, 3 Rh 3.04-3.09
3 Ac 0.7292 0.4584 0.8935  1 Pd 2.94, 3 Rh 3.04-3.09
4 Ac 0.2708 0.5416 0.3935  1 Pd 2.94, 3 Rh 3.04-3.09
5 Ac 0.0000 0.0000 0.5000  4 Rh 3.15
6 Ac 0.0000 0.0000 0.0000  4 Rh 3.15
7 Ac 0.4893 0.9786 0.7500  2 Pd 2.86, 2 Rh 3.06, 2 Au 3.16
8 Ac 0.5107 0.0214 0.2500  2 Pd 2.86, 2 Rh 3.06, 2 Au 3.16
9 Pd 0.8682 0.7365 0.7500  4 Ac 2.86-2.94
10 Pd 0.1318 0.2635 0.2500  4 Ac 2.86-2.94
11 Rh 0.3702 0.7404 0.5772  6 Ac 3.04-3.15, 2 Pd 3.33
12 Rh 0.6298 0.2596 0.0772  6 Ac 3.04-3.15, 2 Pd 3.33
13 Rh 0.6298 0.2596 0.4228  6 Ac 3.04-3.15, 2 Pd 3.33
14 Rh 0.3702 0.7404 0.9228  6 Ac 3.04-3.15, 2 Pd 3.33
15 Au 0.1398 0.2797 0.7500  6 Ac 3.16-3.31
16 Au 0.8602 0.7203 0.2500  6 Ac 3.16-3.31

## Properties
The uncorrected energy is -5.539 eV per atom. The symmetry is Cmcm.

=====

[12]
A relaxed structure of Ac6PdRuAu2. Source: Alexandria, functional PBE.

Lattice parameters (Å, degrees): 7.8310 7.8277 8.3050 61.85 61.84 59.96
Closest atoms and distances in Å follow each position.
Positions (direct):
1 Ac 0.5817 0.2141 0.2524  1 Ru 2.92, 1 Pd 3.12, 2 Au 3.21-3.23
2 Ac 0.2141 0.9515 0.2523  1 Ru 2.92, 1 Pd 3.12, 2 Au 3.21-3.23
3 Ac 0.9518 0.5818 0.2525  1 Ru 2.92, 1 Pd 3.12, 2 Au 3.21-3.23
4 Ac 0.4369 0.7012 0.7648  1 Ru 3.01, 1 Pd 3.10, 2 Au 3.18-3.22
5 Ac 0.7012 0.0971 0.7647  1 Ru 3.01, 1 Pd 3.10, 2 Au 3.18-3.21
6 Ac 0.0972 0.4372 0.7647  1 Ru 3.01, 1 Pd 3.10, 2 Au 3.18-3.21
7 Pd 0.8255 0.8257 0.5232  6 Ac 3.10-3.12
8 Ru 0.3232 0.3228 0.0309  6 Ac 2.92-3.01
9 Au 0.5158 0.5156 0.4530  6 Ac 3.21-3.22
10 Au 0.0141 0.0147 0.9567  6 Ac 3.18-3.23

## Properties
The uncorrected energy is -5.068 eV per atom. The symmetry is P1.